RbNaZrF6 after structural relaxation. Source: Alexandria, functional GGA-PBE.

- D(E_F) (states/eV/cell) = 0.000
- calculated total energy (eV per atom) = -5.70

Unit cell a=7.7779 b=7.7779 c=7.7779 alpha=121.10 beta=117.15 gamma=91.56
Positions (direct):
Rb1 0.3638 0.1138 0.2500
Rb2 0.6362 0.8862 0.7500
Na1 0.0000 0.0000 0.5000
Na2 0.0000 0.5000 0.0000
Zr1 0.0000 0.5000 0.5000
Zr2 0.5000 0.5000 0.0000
F1 0.1033 0.8533 0.2500
F2 0.1721 0.4403 0.3609
F3 0.1721 0.8112 0.7318
F4 0.1917 0.4417 0.7500
F5 0.4206 0.1888 0.8609
F6 0.4206 0.5597 0.2318
F7 0.5794 0.4403 0.7682
F8 0.5794 0.8112 0.1391
F9 0.8083 0.5583 0.2500
F10 0.8279 0.1888 0.2682
F11 0.8279 0.5597 0.6391
F12 0.8967 0.1467 0.7500